No. 1
AlCr2Hg | PBE-GGA | optimized geometry

a b c (Å): 4.8097 4.8097 4.7015
angles (deg): 77.44 77.44 36.25
Last column: nearest neighbours and their distance in Å.
Positions (direct):
Cr (0.9959, 0.9959, 0.0772)  2 Cr 2.22
Cr (0.5041, 0.5041, 0.4228)  2 Cr 2.22
Hg (0.7500, 0.7500, 0.7500)  4 Al 2.79, 6 Cr 2.89-3.00, 2 Hg 2.99
Al (0.2500, 0.2500, 0.2500)  6 Cr 2.63-2.67, 4 Hg 2.79

energy above the lowest structure with this stoichiometry	0.2412	eV per atom
formation enthalpy at 0 K	0.4134	eV per atom
calculated total energy	-5.41	eV per atom

---

No. 2
AlCrHg2 | PBE-GGA | optimized geometry

a b c (Å): 4.7930 4.7930 4.7930
angles (deg): 60.00 60.00 60.00
Last column: nearest neighbours and their distance in Å.
Positions (direct):
Cr (0.7500, 0.7500, 0.7500)  4 Hg 2.94, 4 Al 2.94
Hg (0.0000, 0.0000, 0.0000)  4 Cr 2.94, 4 Hg 2.94
Hg (0.2500, 0.2500, 0.2500)  4 Hg 2.94, 4 Al 2.94
Al (0.5000, 0.5000, 0.5000)  4 Hg 2.94, 4 Cr 2.94

formation enthalpy at 0 K	0.4055	eV per atom
calculated total energy	-3.09	eV per atom

---

No. 3
AlCrHg2 | PBE-GGA | optimized geometry

a b c (Å): 4.9315 3.1760 5.1755
angles (deg): 93.29 90.00 90.00
Last column: nearest neighbours and their distance in Å.
Positions (direct):
Cr (0.5000, 0.7500, 0.7500)  4 Hg 2.89, 4 Al 2.96-3.11, 2 Cr 3.18
Hg (0.0000, 0.0282, 0.9951)  2 Al 2.87, 2 Cr 2.89, 5 Hg 2.92-3.18
Hg (0.0000, 0.4718, 0.5049)  2 Al 2.87, 2 Cr 2.89, 5 Hg 2.92-3.18
Al (0.5000, 0.2500, 0.2500)  4 Hg 2.87, 4 Cr 2.96-3.11, 2 Al 3.18

formation enthalpy at 0 K	0.3567	eV per atom
calculated total energy	-3.14	eV per atom

---

No. 4
Al4CrHg | PBE-GGA | optimized geometry

a b c (Å): 5.2866 5.2866 5.2866
angles (deg): 60.00 60.00 60.00
Last column: nearest neighbours and their distance in Å.
Positions (direct):
Al (0.6242, 0.6242, 0.1275)  6 Al 2.63-2.66
Al (0.6242, 0.1275, 0.6242)  6 Al 2.63-2.66
Al (0.6242, 0.6242, 0.6242)  6 Al 2.63-2.66
Al (0.1275, 0.6242, 0.6242)  6 Al 2.63-2.66
Cr (0.2500, 0.2500, 0.2500)  12 Al 3.10, 4 Hg 3.24
Hg (0.0000, 0.0000, 0.0000)  12 Al 3.10, 4 Cr 3.24

formation enthalpy at 0 K	0.2897	eV per atom
calculated total energy	-3.86	eV per atom

---

No. 5
AlCrHg4 | PBE-GGA | optimized geometry

a b c (Å): 5.8626 5.8626 5.8626
angles (deg): 60.00 60.00 60.00
Last column: nearest neighbours and their distance in Å.
Positions (direct):
Al (0.7500, 0.7500, 0.7500)  12 Hg 3.44, 4 Cr 3.59
Cr (0.0000, 0.0000, 0.0000)  12 Hg 3.44, 4 Al 3.59
Hg (0.8758, 0.3747, 0.3747)  6 Hg 2.92-2.94
Hg (0.3747, 0.3747, 0.8758)  6 Hg 2.92-2.94
Hg (0.3747, 0.8758, 0.3747)  6 Hg 2.92-2.94
Hg (0.3747, 0.3747, 0.3747)  6 Hg 2.92-2.94

formation enthalpy at 0 K	0.5394	eV per atom
calculated total energy	-1.89	eV per atom

---

No. 6
AlCr2Hg | PBE-GGA | optimized geometry

a b c (Å): 2.7863 2.7863 8.8003
angles (deg): 90.00 90.00 114.46
Last column: nearest neighbours and their distance in Å.
Positions (direct):
Cr (0.0000, 0.0000, 0.0187)  2 Cr 2.25
Cr (0.5000, 0.5000, 0.2082)  2 Cr 2.25
Hg (0.0000, 0.0000, 0.4879)  6 Hg 2.79-3.02, 2 Cr 2.89, 2 Al 3.02
Al (0.5000, 0.5000, 0.7852)  2 Cr 2.55, 4 Al 2.79

energy above the lowest structure with this stoichiometry	0.2000	eV per atom
formation enthalpy at 0 K	0.3722	eV per atom
calculated total energy	-5.45	eV per atom

---

No. 7
AlCrHg2 | PBE-GGA | optimized geometry

a b c (Å): 3.0379 3.0379 8.3044
angles (deg): 90.00 90.00 89.99
Last column: nearest neighbours and their distance in Å.
Positions (direct):
Cr (0.5000, 0.5000, 0.7211)  4 Al 2.60
Hg (0.0000, 0.0000, 0.9606)  4 Cr 2.93, 4 Hg 3.04
Hg (0.5000, 0.5000, 0.2745)  8 Hg 3.04-3.38, 4 Al 3.10
Al (0.0000, 0.0000, 0.5439)  4 Cr 2.60

formation enthalpy at 0 K	0.2389	eV per atom
calculated total energy	-3.25	eV per atom

---

No. 8
AlCr2Hg | PBE-GGA | optimized geometry

a b c (Å): 5.0196 5.0196 5.0196
angles (deg): 140.61 132.04 63.73
Last column: nearest neighbours and their distance in Å.
Positions (direct):
Cr (0.0061, 0.0061, 0.0000)  4 Cr 2.65, 2 Al 2.68, 4 Hg 2.76-2.91
Cr (0.4939, 0.4939, 0.0000)  4 Cr 2.65, 2 Al 2.68, 4 Hg 2.76-2.91
Hg (0.7500, 0.2500, 0.5000)  4 Al 2.65, 8 Cr 2.76-2.91
Al (0.2500, 0.7500, 0.5000)  4 Hg 2.65, 4 Cr 2.68

energy above the lowest structure with this stoichiometry	0.2837	eV per atom
formation enthalpy at 0 K	0.4560	eV per atom
calculated total energy	-5.37	eV per atom

---

No. 9
AlCrHg2 | PBE-GGA | optimized geometry

a b c (Å): 9.3726 9.3726 9.3726
angles (deg): 19.47 19.47 19.47
Last column: nearest neighbours and their distance in Å.
Positions (direct):
Cr (0.7555, 0.7555, 0.7555)  3 Al 2.68, 3 Hg 2.90
Hg (0.0072, 0.0072, 0.0072)  3 Cr 2.90, 9 Hg 3.17-3.23
Hg (0.2439, 0.2439, 0.2439)  3 Al 2.95, 9 Hg 3.17-3.23
Al (0.4934, 0.4934, 0.4934)  3 Cr 2.68, 3 Hg 2.95

formation enthalpy at 0 K	0.3227	eV per atom
calculated total energy	-3.17	eV per atom

---

No. 10
Al2Cr2Hg | PBE-GGA | optimized geometry

a b c (Å): 7.3136 7.3136 3.0005
angles (deg): 90.00 90.00 90.00
Last column: nearest neighbours and their distance in Å.
Positions (direct):
Cr (0.1680, 0.6680, 0.5000)  6 Al 2.60-2.64
Cr (0.6680, 0.8320, 0.5000)  6 Al 2.60-2.64
Cr (0.8320, 0.3320, 0.5000)  6 Al 2.60-2.64
Cr (0.3320, 0.1680, 0.5000)  6 Al 2.60-2.64
Hg (0.0000, 0.0000, 0.0000)  4 Al 2.88, 2 Hg 3.00, 8 Cr 3.11
Hg (0.5000, 0.5000, 0.0000)  4 Al 2.88, 2 Hg 3.00, 8 Cr 3.11
Al (0.3735, 0.8735, 0.0000)  6 Cr 2.60-2.64, 1 Al 2.62, 2 Hg 2.88
Al (0.8735, 0.6265, 0.0000)  6 Cr 2.60-2.64, 1 Al 2.62, 2 Hg 2.88
Al (0.6265, 0.1265, 0.0000)  6 Cr 2.60-2.64, 1 Al 2.62, 2 Hg 2.88
Al (0.1265, 0.3735, 0.0000)  6 Cr 2.60-2.64, 1 Al 2.62, 2 Hg 2.88

energy above the lowest structure with this stoichiometry	0.0162	eV per atom
formation enthalpy at 0 K	0.2064	eV per atom
calculated total energy	-5.20	eV per atom

---

No. 11
AlCrHg2 | PBE-GGA | optimized geometry

a b c (Å): 5.0877 5.0877 5.0877
angles (deg): 129.89 129.89 73.58
Last column: nearest neighbours and their distance in Å.
Positions (direct):
Cr (0.7500, 0.2500, 0.5000)  8 Hg 2.97, 4 Al 3.05
Hg (0.0000, 0.0000, 0.0000)  4 Cr 2.97, 4 Al 2.97, 4 Hg 3.05
Hg (0.5000, 0.5000, 0.0000)  4 Cr 2.97, 4 Al 2.97, 4 Hg 3.05
Al (0.2500, 0.7500, 0.5000)  8 Hg 2.97, 4 Cr 3.05

formation enthalpy at 0 K	0.2937	eV per atom
calculated total energy	-3.20	eV per atom

---

No. 12
AlCr2Hg | PBE-GGA | optimized geometry

a b c (Å): 4.8254 4.8254 4.8254
angles (deg): 128.46 128.46 75.88
Last column: nearest neighbours and their distance in Å.
Positions (direct):
Cr (0.0000, 0.0000, 0.0000)  4 Hg 2.83, 4 Al 2.83, 4 Cr 2.97
Cr (0.5000, 0.5000, 0.0000)  4 Hg 2.83, 4 Al 2.83, 4 Cr 2.97
Hg (0.2500, 0.7500, 0.5000)  8 Cr 2.83, 4 Al 2.97
Al (0.7500, 0.2500, 0.5000)  8 Cr 2.83, 4 Hg 2.97

energy above the lowest structure with this stoichiometry	0.1993	eV per atom
formation enthalpy at 0 K	0.3716	eV per atom
calculated total energy	-5.45	eV per atom

---

No. 13
AlCrHg | PBE-GGA | optimized geometry

a b c (Å): 4.5150 4.5150 3.0029
angles (deg): 90.00 90.00 120.00
Last column: nearest neighbours and their distance in Å.
Positions (direct):
Cr (0.6667, 0.3333, 0.3331)  2 Cr 3.00, 6 Hg 3.01, 6 Al 3.01
Hg (0.3333, 0.6667, 0.8337)  3 Al 2.61
Al (0.0000, 0.0000, 0.8332)  3 Hg 2.61

energy above the lowest structure with this stoichiometry	0.0476	eV per atom
formation enthalpy at 0 K	0.3031	eV per atom
calculated total energy	-4.25	eV per atom

---

No. 14
AlCr2Hg | PBE-GGA | optimized geometry

a b c (Å): 3.1108 3.1108 6.8395
angles (deg): 90.00 90.00 90.00
Last column: nearest neighbours and their distance in Å.
Positions (direct):
Cr (0.0000, 0.0000, 0.9766)  4 Al 2.69, 4 Hg 2.89
Cr (0.0000, 0.0000, 0.5234)  4 Al 2.69, 4 Hg 2.89
Hg (0.5000, 0.5000, 0.2500)  8 Cr 2.89, 4 Hg 3.11
Al (0.5000, 0.5000, 0.7500)  8 Cr 2.69

energy above the lowest structure with this stoichiometry	0.1434	eV per atom
formation enthalpy at 0 K	0.3156	eV per atom
calculated total energy	-5.51	eV per atom

---

No. 15
AlCrHg2 | PBE-GGA | optimized geometry

a b c (Å): 9.0344 9.0344 9.0344
angles (deg): 20.71 20.71 20.71
Last column: nearest neighbours and their distance in Å.
Positions (direct):
Cr (0.7500, 0.7500, 0.7500)  6 Hg 2.87
Hg (0.0014, 0.0014, 0.0014)  3 Cr 2.87, 3 Al 2.93
Hg (0.4986, 0.4986, 0.4986)  3 Cr 2.87, 3 Al 2.93
Al (0.2500, 0.2500, 0.2500)  6 Hg 2.93, 6 Al 3.25

formation enthalpy at 0 K	0.3649	eV per atom
calculated total energy	-3.13	eV per atom

---

no.,theoretical density (Mg/m³)
1,8.79
2,10.24
3,9.85
4,5.73
5,10.27
6,8.85
7,10.40
8,9.36
9,9.97
10,7.42
11,10.54
12,8.22
13,8.76
14,8.32
15,9.87